! TbDyTm2S4 | Alexandria via LeMat-Bulk | PBE | optimized geometry; values from VASP
! SG: P2/m, No. 10
! DOS(E_F) in states/eV/f.u.: 4.6
! Final energy in eV per atom: -6.301
&SYSTEM
  ibrav = 0, nat = 8, ntyp = 4
/
ATOMIC_SPECIES
Tb 158.93 Tb.upf
Dy 162.50 Dy.upf
Tm 168.93 Tm.upf
S 32.06 S.upf
CELL_PARAMETERS angstrom
6.712 0.000 0.000
0.000 3.840 0.000
-2.203 0.000 6.404
ATOMIC_POSITIONS crystal
Tb 0.000 0.000 0.000
Dy 0.500 0.500 0.000
Tm 0.000 0.500 0.500
Tm 0.500 0.000 0.500
S 0.249 0.000 0.743
S 0.254 0.500 0.258
S 0.746 0.500 0.742
S 0.751 0.000 0.257

=====

! Na3YZr2S6 | Alexandria via LeMat-Bulk | PBE | optimized geometry; values from VASP
! SG: C2/m, No. 12
! DOS(E_F) in states/eV/f.u.: 4.7
! Final energy in eV per atom: -5.939
&SYSTEM
  ibrav = 0, nat = 12, ntyp = 4
/
ATOMIC_SPECIES
Na 22.99 Na.upf
Y 88.91 Y.upf
Zr 91.22 Zr.upf
S 32.06 S.upf
CELL_PARAMETERS angstrom
3.275 -5.674 0.000
3.275 5.674 0.000
-2.190 0.000 6.790
ATOMIC_POSITIONS crystal
Na 0.000 0.000 0.000
Na 0.336 0.664 0.000
Na 0.664 0.336 0.000
Y 0.500 0.500 0.500
Zr 0.167 0.833 0.500
Zr 0.833 0.167 0.500
S 0.079 0.424 0.274
S 0.230 0.230 0.726
S 0.424 0.079 0.274
S 0.576 0.921 0.726
S 0.770 0.770 0.274
S 0.921 0.576 0.726